1.
The following is a PBE-GGA calculation of crystalline ZrZnSi2H at its relaxed geometry, from Alexandria.

Cell lengths 5.2568, 3.6670, 5.2568 Å; angles 90.00, 90.00, 90.00 degrees
Closest atoms and distances in Å follow each position.
Sites, in units of the cell vectors:
H1 0.0000 0.5000 0.0000  2 Zr 1.83
Zn1 0.5000 0.5000 0.5000  8 Si 3.20
Si1 0.0000 0.0000 0.5000  2 Zr 2.63
Si2 0.5000 0.0000 0.0000  2 Zr 2.63
Zr1 0.0000 0.0000 0.0000  2 H 1.83

Values from the calculation:
* size of the total moment: 0.000 μB/atom
* density of states at the Fermi level: 0.574 states/eV per atom


2.
The following is a PBE-GGA calculation of crystalline Zr3SiH3 at its relaxed geometry, from Alexandria.

Cell lengths 6.0720, 6.0720, 6.9570 Å; angles 64.13, 64.13, 60.00 degrees
Closest atoms and distances in Å follow each position.
Sites, in units of the cell vectors:
Zr1 0.2371 0.5827 0.2694  4 H 2.08-2.15
Zr2 0.9108 0.2371 0.2694  4 H 2.08-2.15
Zr3 0.5827 0.9108 0.2694  4 H 2.08-2.15
Zr4 0.4173 0.0892 0.7306  4 H 2.08-2.15
Zr5 0.0892 0.7629 0.7306  4 H 2.08-2.15
Zr6 0.7629 0.4173 0.7306  4 H 2.08-2.15
Si1 0.3337 0.3337 0.9988  6 Zr 2.60-2.61
Si2 0.6663 0.6663 0.0012  6 Zr 2.60-2.61
H1 0.4695 0.7856 0.6152  4 Zr 2.08-2.15
H2 0.7856 0.1297 0.6152  4 Zr 2.08-2.15
H3 0.1297 0.4695 0.6152  4 Zr 2.08-2.15
H4 0.8703 0.5305 0.3848  4 Zr 2.08-2.15
H5 0.2144 0.8703 0.3848  4 Zr 2.08-2.15
H6 0.5305 0.2144 0.3848  4 Zr 2.08-2.15

Values from the calculation:
* size of the total moment: 0.000 μB/atom
* density of states at the Fermi level: 0.373 states/eV per atom


3.
The following is a PBE-GGA calculation of crystalline ZrSiH2 at its relaxed geometry, from Alexandria.

Cell lengths 3.8818, 3.8818, 3.8818 Å; angles 60.00, 60.00, 60.00 degrees
Closest atoms and distances in Å follow each position.
Sites, in units of the cell vectors:
H1 0.2500 0.2500 0.2500  4 Zr 2.38, 4 Si 2.38
H2 0.7500 0.7500 0.7500  4 Zr 2.38, 4 Si 2.38
Si1 0.0000 0.0000 0.0000  8 H 2.38
Zr1 0.5000 0.5000 0.5000  8 H 2.38

Values from the calculation:
* offset from the most stable computed form: 287 meV/atom
* size of the total moment: 0.000 μB/atom
* density of states at the Fermi level: 0.419 states/eV per atom


The following total DFT energy (no corrections) values (in eV/atom) correspond, in order, to the records above: -4.234 -6.361 -5.030.